First-principles (PBE with a Hubbard U) data for a geometry-optimized Ca2NiBrF structure, as listed in the Alexandria database.

Properties
Its raw total energy is -14.2 eV/cell. Its symmetry is P4/mmm. The spin magnetization comes out at 0.860 μB/f.u. The calculated volume comes out at 129.7 Å³/f.u.

Unit cell a=5.4917 b=5.4917 c=4.3013 alpha=90.00 beta=90.00 gamma=90.00
Closest atoms and distances in Å follow each position.
Fractional positions:
Ca: 0.0000 0.5000 0.0000  2 Ni 2.75
Ca: 0.5000 0.0000 0.0000  2 Ni 2.75
Ni: 0.0000 0.0000 0.0000  2 F 2.15
Br: 0.5000 0.5000 0.5000  8 Ca 3.49, 4 F 3.88
F: 0.0000 0.0000 0.5000  2 Ni 2.15